Entry 1:
# LaNd3Ir2

Crystalline LaNd3Ir2 at its relaxed geometry (PBE, Alexandria via LeMat-Bulk).

Lattice parameters (Å, degrees): 16.925 4.343 11.629 90.00 119.53 90.00
Space group C2/m (No. 12)
Asymmetric unit:
La  0.071  0.000  0.178
Nd  0.059  0.500  0.710
Nd  0.177  0.000  0.545
Nd  0.206  0.500  0.083
Ir  0.119  0.000  0.901
Ir  0.130  0.500  0.360

Calculated values
Calculated total energy (eV/atom): -6.700
Spin magnetization (μB per atom): 0.000
Offset from the most stable computed form (eV/atom): 0.0000
ΔH_f (0 K) (eV/f.u.): -3.2
Volume (Å³/f.u.): 186.0

Entry 2:
# La4NdIr2

Crystalline La4NdIr2 at its relaxed geometry (PBE, Alexandria via LeMat-Bulk).

Lattice parameters (Å, degrees): 8.166 6.719 8.238 90.00 114.55 90.00
Space group P2_1/m (No. 11)
Asymmetric unit:
La  0.127  0.250  0.488
La  0.158  0.750  0.236
La  0.275  0.506  0.920
Nd  0.476  0.250  0.351
Ir  0.092  0.250  0.140
Ir  0.490  0.250  0.730

Calculated values
Calculated total energy (eV/atom): -6.456
Spin magnetization (μB per atom): 0.000
ΔH_f (0 K) (eV/f.u.): -3.0
Volume (Å³/f.u.): 205.6

The highest volume belongs to which entry?
La4NdIr2